[1]
AcPrCd: relaxed, PBE-GGA.

Cell and atoms, written as CIF:
```
data_AcPrCd
_symmetry_space_group_name_H-M 'P 3 m 1'
_symmetry_Int_Tables_number 156
_cell_length_a 5.5441
_cell_length_b 5.5441
_cell_length_c 3.8351
_cell_angle_alpha 90.00
_cell_angle_beta 90.00
_cell_angle_gamma 120.00
loop_
_symmetry_equiv_pos_as_xyz
'x,y,z'
'-y,x-y,z'
'-x+y,-x,z'
'-y,-x,z'
'-x+y,y,z'
'x,x-y,z'
loop_
_atom_site_label
_atom_site_fract_x
_atom_site_fract_y
_atom_site_fract_z
_atom_site_occupancy
Ac1 0.0000 0.0000 0.0000 1
Pr1 0.3333 0.6667 0.4293 1
Cd1 0.6667 0.3333 0.6261 1
```

The total energy is -10.03 eV per formula unit. Its formation energy is -22 kJ/mol of formula units. As for the offset from the most stable computed form: 114 meV/atom.



[2]
Ac8Co3Ni: relaxed, PBE-GGA.

Cell and atoms, written as CIF:
```
data_Ac8Co3Ni
_symmetry_space_group_name_H-M 'C 1 2/m 1'
_symmetry_Int_Tables_number 12
_cell_length_a 14.257
_cell_length_b 8.543
_cell_length_c 8.281
_cell_angle_alpha 90.00
_cell_angle_beta 123.17
_cell_angle_gamma 90.00
loop_
_symmetry_equiv_pos_as_xyz
'x,y,z'
'-x,-y,-z'
'-x,y,-z'
'x,-y,z'
'x+1/2,y+1/2,z'
'-x+1/2,-y+1/2,-z'
'-x+1/2,y+1/2,-z'
'x+1/2,-y+1/2,z'
loop_
_atom_site_label
_atom_site_fract_x
_atom_site_fract_y
_atom_site_fract_z
_atom_site_occupancy
Ac1 0.009 0.245 0.247 1
Ac2 0.244 0.000 0.255 1
Ac3 0.246 0.500 0.264 1
Co1 0.000 0.000 0.000 1
Co2 0.250 0.250 0.500 1
Ni1 0.000 0.500 0.000 1
```

The total energy is -60.92 eV per formula unit. Its formation energy is -92 kJ/mol of formula units.



[3]
ZrTiGaMo: relaxed, PBE-GGA.

Cell and atoms, written as CIF:
```
data_ZrTiGaMo
_symmetry_space_group_name_H-M 'F -4 3 m'
_symmetry_Int_Tables_number 216
_symmetry_space_group_name_Hall 'F -4 2 3'
_cell_length_a 6.537
_cell_length_b 6.537
_cell_length_c 6.537
_cell_angle_alpha 90.00
_cell_angle_beta 90.00
_cell_angle_gamma 90.00
loop_
_atom_site_label
_atom_site_fract_x
_atom_site_fract_y
_atom_site_fract_z
_atom_site_occupancy
Zr1 0.000 0.000 0.000 1
Ti1 0.000 0.000 0.500 1
Ga1 0.250 0.250 0.750 1
Mo1 0.250 0.250 0.250 1
```

The total energy is -31.32 eV per formula unit. Its formation energy is -99 kJ/mol of formula units.